[1]
Material: ScCrAs2
Method: DFT, meta-GGA SCAN
State: single point on PBEsol structure

```
ScCrAs2
1.0
3.754 0.000 0.000
1.877 3.251 0.000
1.877 1.084 5.747
Sc Cr As
1 1 2
direct
0.000 0.000 0.000
0.500 0.500 0.500
0.241 0.241 0.278
0.759 0.759 0.722
```

Energy of formation (eV per atom): -0.937
Total DFT energy (no corrections) (eV/f.u.): -76.8
Energy above the most stable polymorph in this dataset (kJ/mol of atoms): 0.00
Magnetization (μB per cell): 2.843

=====

[2]
Material: ScCr4As
Method: DFT, meta-GGA SCAN
State: single point on PBEsol structure

```
ScCr4As
1.0
4.820 0.000 0.000
2.410 4.174 0.000
2.410 1.391 3.935
As Cr Sc
1 4 1
direct
0.000 0.000 0.000
0.374 0.374 0.374
0.374 0.374 0.879
0.879 0.374 0.374
0.374 0.879 0.374
0.750 0.750 0.750
```

Energy of formation (eV per atom): 0.186
Total DFT energy (no corrections) (eV/f.u.): -106.9
Magnetization (μB per cell): 0.000

=====

[3]
Material: CrAsSe2
Method: DFT, meta-GGA SCAN
State: single point on PBEsol structure

```
CrAsSe2
1.0
-2.813 -1.534 1.232
-0.910 -3.102 -1.156
3.233 -5.043 5.890
Cr As Se
1 1 2
direct
0.500 0.500 0.500
0.000 0.000 0.000
0.892 0.892 0.323
0.108 0.108 0.677
```

Total DFT energy (no corrections) (eV/f.u.): -80.0
Magnetization (μB per cell): 2.928
Formation energy (no corrections) (eV/atom): -0.321

=====

[4]
Material: CrAsSe2
Method: DFT, meta-GGA SCAN
State: single point on PBEsol structure

```
CrAsSe2
1.0
2.870 0.000 0.000
0.000 2.870 0.000
0.000 0.000 8.642
As Cr Se
1 1 2
direct
0.000 0.000 0.569
0.500 0.500 0.754
0.000 0.000 0.914
0.500 0.500 0.262
```

Total DFT energy (no corrections) (eV/f.u.): -78.3
Magnetization (μB per cell): 1.008
Formation energy (no corrections) (eV/atom): 0.103

=====

[5]
Material: CrTeAs2Se
Method: DFT, meta-GGA SCAN
State: single point on PBEsol structure

```
CrTeAs2Se
1.0
-0.816 -3.643 3.638
-3.459 -2.361 -3.140
3.842 -2.906 -2.048
Cr As Te Se
1 2 1 1
direct
0.500 0.500 0.500
0.000 0.000 0.500
0.000 0.500 0.000
0.000 0.000 0.000
0.500 0.000 0.000
```

Total DFT energy (no corrections) (eV/f.u.): -111.2
Magnetization (μB per cell): 3.118
Formation energy (no corrections) (eV/atom): 0.983

=====

[6]
Material: TlCrAsSe2
Method: DFT, meta-GGA SCAN
State: single point on PBEsol structure

```
TlCrAsSe2
1.0
5.160 0.000 0.000
0.000 5.294 0.000
0.000 0.000 5.294
Cr Tl As Se
1 1 1 2
direct
0.500 0.500 0.500
0.000 0.000 0.000
0.500 0.000 0.000
0.000 0.000 0.500
0.000 0.500 0.000
```

Total DFT energy (no corrections) (eV/f.u.): -146.5
Magnetization (μB per cell): 2.816
Formation energy (no corrections) (eV/atom): 0.916